[1]
SiSnBi2 at its PBEsol-relaxed geometry. Source: the Alexandria database, functional meta-GGA SCAN.

Values from the calculation:
For the size of the total moment, the calculation gives 0.00 μB/f.u. Its total energy is -1.852 hartree per atom.

a = 8.2651 Å, b = 8.2651 Å, c = 6.3464 Å
α = 90.00°, β = 90.00°, γ = 90.00°
Space group I-42d (No. 122)
Symmetry-distinct sites (fractional):
Si1 0.0000 0.0000 0.0000
Sn1 0.0000 0.0000 0.5000
Bi1 0.2235 0.2500 0.1250


[2]
SiSnBi3 at its PBEsol-relaxed geometry. Source: the Alexandria database, functional meta-GGA SCAN.

Values from the calculation:
For the size of the total moment, the calculation gives 0.00 μB/f.u. Its total energy is -2.025 hartree per atom.

a = 5.6609 Å, b = 5.6609 Å, c = 5.6609 Å
α = 90.00°, β = 90.00°, γ = 90.00°
Space group Pm-3m (No. 221)
Symmetry-distinct sites (fractional):
Si1 0.0000 0.0000 0.0000
Sn1 0.5000 0.5000 0.5000
Bi1 0.0000 0.5000 0.5000


[3]
SiTc3Bi at its PBEsol-relaxed geometry. Source: the Alexandria database, functional meta-GGA SCAN.

Values from the calculation:
For the size of the total moment, the calculation gives 7.52 μB/f.u. Its total energy is -1.329 hartree per atom.

a = 4.9114 Å, b = 4.9114 Å, c = 4.9114 Å
α = 90.00°, β = 90.00°, γ = 90.00°
Space group Pm-3m (No. 221)
Symmetry-distinct sites (fractional):
Si1 0.0000 0.0000 0.0000
Tc1 0.0000 0.5000 0.5000
Bi1 0.5000 0.5000 0.5000


[4]
Si2BiTeW at its PBEsol-relaxed geometry. Source: the Alexandria database, functional meta-GGA SCAN.

Values from the calculation:
For the size of the total moment, the calculation gives 3.21 μB/f.u. Its total energy is -1.431 hartree per atom.

a = 5.2310 Å, b = 5.2310 Å, c = 5.2958 Å
α = 90.00°, β = 90.00°, γ = 90.00°
Space group P4/mmm (No. 123)
Symmetry-distinct sites (fractional):
Si1 0.0000 0.5000 0.0000
Bi1 0.0000 0.0000 0.0000
Te1 0.5000 0.5000 0.5000
W1 0.0000 0.0000 0.5000